1.
Density functional theory data (meta-GGA SCAN) for a crystal of TcIrSe relaxed with PBEsol.

Calculated values
Total energy (eV per atom): -41.68
Raw formation energy (eV per atom): 0.40

Cell: 3.001 4.132 4.132 Å, 120.00 90.00 90.00°
Element x y z (fractional)
Ir (0.960, 0.000, 0.000)
Se (0.595, 0.667, 0.333)
Tc (0.446, 0.333, 0.667)

2.
Density functional theory data (meta-GGA SCAN) for a crystal of TeIr4Se relaxed with PBEsol.

Calculated values
Total energy (eV per atom): -56.00
Raw formation energy (eV per atom): 0.96

Cell: 5.253 5.253 5.253 Å, 60.00 60.00 60.00°
Element x y z (fractional)
Ir (0.375, 0.375, 0.375)
Ir (0.375, 0.375, 0.875)
Ir (0.875, 0.375, 0.375)
Ir (0.375, 0.875, 0.375)
Se (0.750, 0.750, 0.750)
Te (0.000, 0.000, 0.000)

3.
Density functional theory data (meta-GGA SCAN) for a crystal of TeIrSe2 relaxed with PBEsol.

Calculated values
Total energy (eV per atom): -36.30
Raw formation energy (eV per atom): 0.83

Cell: 3.324 4.723 4.723 Å, 90.00 90.00 90.00°
Element x y z (fractional)
Ir (0.500, 0.000, 0.000)
Se (0.000, 0.000, 0.500)
Se (0.000, 0.500, 0.000)
Te (0.500, 0.500, 0.500)

4.
Density functional theory data (meta-GGA SCAN) for a crystal of TeIr2Se2 relaxed with PBEsol.

Calculated values
Total energy (eV per atom): -43.15
Raw formation energy (eV per atom): 0.77

Cell: 2.950 7.923 7.923 Å, 90.00 90.00 90.00°
Element x y z (fractional)
Ir (0.500, 0.123, 0.623)
Ir (0.500, 0.623, 0.877)
Ir (0.500, 0.877, 0.377)
Ir (0.500, 0.377, 0.123)
Te (0.000, 0.000, 0.000)
Te (0.000, 0.500, 0.500)
Se (0.000, 0.354, 0.854)
Se (0.000, 0.854, 0.646)
Se (0.000, 0.646, 0.146)
Se (0.000, 0.146, 0.354)